Entry w
A geometry-optimized YHo2Sn structure. Source: the Alexandria database, functional GGA-PBE.

For the volume, the calculation gives 126.50 Å³/f.u. As for the calculated density: 7.06 g/cm3. The calculation puts the total moment at 0.0 μB per cell.

It has space group R-3m (No. 166, hexagonal axes), with a = 3.5044 Å, b = 3.5044 Å, c = 35.6826 Å, α = 90.00°, β = 90.00° and γ = 120.00°. Symmetry generates all atoms from Y at (0.0000, 0.0000, 0.0000), Ho at (0.0000, 0.0000, 0.4130) and Sn at (0.0000, 0.0000, 0.5000).


Entry x
A geometry-optimized YHo2Sn structure. Source: the Alexandria database, functional GGA-PBE.

For the volume, the calculation gives 118.24 Å³/f.u. As for the calculated density: 7.55 g/cm3. The calculation puts the total moment at 0.0 μB per cell.

It has space group P4/mmm (No. 123), with a = 3.6851 Å, b = 3.6851 Å, c = 8.7073 Å, α = 90.00°, β = 90.00° and γ = 90.00°. Symmetry generates all atoms from Y at (0.0000, 0.0000, 0.0000), Ho at (0.5000, 0.5000, 0.2796) and Sn at (0.0000, 0.0000, 0.5000).


Order from most stable to least stable according to the calculation: entry x, entry w


Entry w
A geometry-optimized Ho3ZnSn3 structure. Source: the Alexandria database, functional GGA-PBE.

For the volume, the calculation gives 216.71 Å³/f.u. As for the calculated density: 7.02 g/cm3. The calculation puts the total moment at 0.0 μB per cell.

It has space group P6_3/m (No. 176), with a = 9.0233 Å, b = 9.0233 Å, c = 6.1467 Å, α = 90.00°, β = 90.00° and γ = 120.00°. Symmetry generates all atoms from Ho at (0.0471, 0.3631, 0.2500), Zn at (0.3333, 0.6667, 0.7500) and Sn at (0.0451, 0.3515, 0.7500).


Entry x
A geometry-optimized Ho3ZnSn3 structure. Source: the Alexandria database, functional GGA-PBE.

For the volume, the calculation gives 176.78 Å³/f.u. As for the calculated density: 8.61 g/cm3. The calculation puts the total moment at 0.0 μB per cell.

It has space group C2/m (No. 12), with a = 11.3166 Å, b = 4.4275 Å, c = 14.8374 Å, α = 90.00°, β = 107.98° and γ = 90.00°. Symmetry generates all atoms from Ho at (0.0160, 0.0000, 0.3791), Ho at (0.1007, 0.0000, 0.9213), Ho at (0.2318, 0.0000, 0.2301), Zn at (0.2255, 0.5000, 0.3747), Sn at (0.0054, 0.5000, 0.2293), Sn at (0.1263, 0.5000, 0.0756) and Sn at (0.1463, 0.5000, 0.5431).


Order from most stable to least stable according to the calculation: entry x, entry w